*w*
Material: Np2SnTe
Method: DFT, PBE
State: optimized geometry

crystal system: trigonal
space-group type: R-3m, No. 166

```
4
Lattice="-3.5195 -2.7148 0.5436 -1.7148 -2.1746 -3.5189 2.5453 -6.9516 0.2064" Properties=species:S:1:pos:R:3 pbc="T T T"
Np -0.6879 -2.9408 -0.6966
Np -2.0011 -8.9002 -2.0723
Te -1.3445 -5.9205 -1.3845
Sn 0.0000 0.0000 0.0000
```



*x*
Material: Np2SnTe
Method: DFT, PBE
State: optimized geometry

crystal system: tetragonal
space-group type: P4/mmm, No. 123

```
4
Lattice="-1.1113 3.2803 0.8639 -2.3805 -1.4018 2.2605 5.5691 0.2940 6.0471" Properties=species:S:1:pos:R:3 pbc="T T T"
Np 4.1267 0.2179 4.4808
Np 1.4425 0.0762 1.5663
Te 1.0387 1.0863 4.5858
Sn -1.7459 0.9393 1.5622
```



Name the least stable of them. *w*.



*w*
Material: ThNpSn2
Method: DFT, PBE
State: optimized geometry

crystal system: cubic
space-group type: Fm-3m, No. 225

```
4
Lattice="5.4076 0.0000 0.0000 2.7038 4.6831 0.0000 2.7038 1.5610 4.4098" Properties=species:S:1:pos:R:3 pbc="T T T"
Np 0.0000 0.0000 0.0000
Sn 2.7038 1.5610 1.1035
Sn 8.1114 4.6831 3.3064
Th 5.4076 3.1221 2.2049
```



*x*
Material: ThNpSn2
Method: DFT, PBE
State: optimized geometry

crystal system: tetragonal
space-group type: P4/mmm, No. 123

```
4
Lattice="-1.8841 -3.2801 2.4321 4.3953 -2.1384 0.5210 0.7765 2.5953 4.1017" Properties=species:S:1:pos:R:3 pbc="T T T"
Np -0.9421 -1.6400 1.2161
Sn 0.3882 1.2977 2.0509
Sn 2.1976 -1.0692 0.2605
Th 1.6438 -1.4116 3.5274
```



Name the least stable of them. *w*.



*w*
Material: NpTiSn2
Method: DFT, PBE
State: optimized geometry

crystal system: tetragonal
space-group type: P4/mmm, No. 123

```
4
Lattice="-0.8875 -1.4968 -4.1233 4.3932 -0.9759 -0.5914 -0.7013 -4.1648 1.6628" Properties=species:S:1:pos:R:3 pbc="T T T"
Np -0.4438 -0.7484 -2.0617
Sn -0.3507 -2.0824 0.8314
Sn 2.1966 -0.4879 -0.2957
Ti 1.4022 -3.3187 -1.5259
```



*x*
Material: NpTiSn2
Method: DFT, PBE
State: optimized geometry

crystal system: tetragonal
space-group type: P4/mmm, No. 123

```
4
Lattice="3.6605 0.0000 0.0000 0.0000 3.6605 0.0000 0.0000 0.0000 6.7907" Properties=species:S:1:pos:R:3 pbc="T T T"
Np 1.8302 1.8302 3.3954
Sn 0.0000 0.0000 5.3245
Sn 0.0000 0.0000 1.4662
Ti 1.8302 1.8302 0.0000
```



Name the least stable of them. *w*.



*w*
Material: NpTlSn2
Method: DFT, PBE
State: optimized geometry

crystal system: trigonal
space-group type: R-3m, No. 166

```
4
Lattice="-1.1412 -1.0008 -2.8342 -1.5655 -2.8007 -0.2042 -11.2625 4.3649 1.1700" Properties=species:S:1:pos:R:3 pbc="T T T"
Np -6.9846 0.2817 -0.9342
Tl 0.0000 0.0000 0.0000
Sn -8.4822 2.8535 0.5842
Sn -5.4870 -2.2900 -2.4526
```



*x*
Material: NpTlSn2
Method: DFT, PBE
State: optimized geometry

crystal system: tetragonal
space-group type: P4/mmm, No. 123

```
4
Lattice="-0.9015 3.5482 1.6772 -2.1050 -1.8895 2.8661 5.4675 -0.3881 3.7597" Properties=species:S:1:pos:R:3 pbc="T T T"
Np -1.5032 0.8294 2.2716
Tl 1.2305 0.6353 4.1515
Sn 4.0897 -0.2903 2.8123
Sn 1.3778 -0.0978 0.9475
```



*y*
Material: NpTlSn2
Method: DFT, PBE
State: optimized geometry

crystal system: tetragonal
space-group type: P4/mmm, No. 123

```
4
Lattice="-3.3070 -0.5425 -0.5244 1.2314 -3.1089 -4.5498 0.2470 -4.6262 3.2280" Properties=species:S:1:pos:R:3 pbc="T T T"
Np -0.9143 -4.1388 -0.9231
Tl -1.6535 -0.2712 -0.2622
Sn 0.1235 -2.3131 1.6140
Sn 0.6157 -1.5545 -2.2749
```



Name the least stable of them. *w*.



*w*
Material: ZrNpSn2
Method: DFT, PBE
State: optimized geometry

crystal system: tetragonal
space-group type: P4/mmm, No. 123

```
4
Lattice="3.8332 0.0000 0.0000 0.0000 3.8332 0.0000 0.0000 0.0000 6.6135" Properties=species:S:1:pos:R:3 pbc="T T T"
Np 1.9166 1.9166 0.0000
Sn 0.0000 0.0000 4.8053
Sn 0.0000 0.0000 1.8082
Zr 1.9166 1.9166 3.3068
```



*x*
Material: ZrNpSn2
Method: DFT, PBE
State: optimized geometry

crystal system: trigonal
space-group type: R-3m, No. 166

```
4
Lattice="-1.7501 -0.8356 -2.4860 0.2946 -2.8851 -1.2371 -8.7186 -5.1262 5.8613" Properties=species:S:1:pos:R:3 pbc="T T T"
Np -5.0871 -4.4235 1.0691
Sn -6.5917 -4.1224 4.0266
Sn -3.5824 -4.7245 -1.8884
Zr 0.0000 0.0000 0.0000
```



Name the least stable of them. *x*.



*w*
Material: SrNp2Te4
Method: DFT, PBE
State: optimized geometry

crystal system: orthorhombic
space-group type: Cmcm, No. 63

```
14
Lattice="4.4527 0.0000 0.0000 -2.2264 7.2193 0.0000 0.0000 0.0000 15.3074" Properties=species:S:1:pos:R:3 pbc="T T T"
Sr 2.2264 1.6004 11.4805
Sr 0.0000 5.6190 3.8268
Np 0.0000 1.9387 6.6711
Np 2.2264 5.2807 14.3247
Np 0.0000 1.9387 0.9826
Np 2.2264 5.2807 8.6363
Te 2.2264 3.9293 1.8240
Te 2.2264 3.9293 5.8297
Te 0.0000 3.2901 13.4834
Te 0.0000 3.2901 9.4777
Te 2.2264 6.3814 11.4805
Te 0.0000 0.8380 3.8268
Te 2.2264 0.0000 0.0000
Te 2.2264 0.0000 7.6537
```



*x*
Material: SrNp2Te4
Method: DFT, PBE
State: optimized geometry

crystal system: orthorhombic
space-group type: Imma, No. 74

```
14
Lattice="7.9460 0.0000 4.5799 2.7121 7.4484 4.4776 0.0457 0.0678 9.1036" Properties=species:S:1:pos:R:3 pbc="T T T"
Sr 5.3290 3.7242 4.5288
Sr 1.3560 3.7242 2.2388
Np 0.0000 0.0000 0.0000
Np 0.0229 0.0339 4.5518
Np 1.3789 3.7581 6.7906
Np 3.9958 0.0339 6.8418
Te 2.6329 1.7970 4.6149
Te 6.6234 1.7716 6.8744
Te 4.0803 5.7446 11.2867
Te 8.0708 5.7192 13.5463
Te 8.0925 5.6528 9.1987
Te 6.8278 1.8633 11.3928
Te 3.8759 5.6528 6.7683
Te 2.6112 1.8633 8.9625
```



Name the least stable of them. *x*.



*w*
Material: NpTa2W
Method: DFT, PBE
State: optimized geometry

crystal system: tetragonal
space-group type: P4/mmm, No. 123

```
4
Lattice="-0.3307 -1.8214 -2.5393 -0.0747 -3.9278 2.8271 -4.8125 0.3579 0.3701" Properties=species:S:1:pos:R:3 pbc="T T T"
Np -0.1654 -0.9107 -1.2696
W -2.6090 -2.6956 0.3290
Ta -2.4063 0.1790 0.1851
Ta -0.0374 -1.9639 1.4136
```



*x*
Material: NpTa2W
Method: DFT, PBE
State: optimized geometry

crystal system: tetragonal
space-group type: P4/mmm, No. 123

```
4
Lattice="3.2130 0.0000 0.0000 0.0000 3.2130 0.0000 0.0000 0.0000 7.3304" Properties=species:S:1:pos:R:3 pbc="T T T"
Np 1.6065 1.6065 0.0000
W 1.6065 1.6065 3.6652
Ta 0.0000 0.0000 5.2775
Ta 0.0000 0.0000 2.0529
```



Name the least stable of them. *w*.



*w*
Material: NpTc3
Method: DFT, PBE
State: optimized geometry

crystal system: tetragonal
space-group type: P4/mmm, No. 123

```
4
Lattice="-1.7029 -1.8780 -1.8113 3.7786 -1.2801 -2.2252 0.5971 -3.4128 2.9772" Properties=species:S:1:pos:R:3 pbc="T T T"
Np 0.5473 -3.1283 2.7291
Tc 2.1381 -2.0619 0.1278
Tc -0.6027 -2.3609 0.3348
Tc 1.5852 -4.7074 0.7108
```



*x*
Material: NpTc3
Method: DFT, PBE
State: optimized geometry

crystal system: cubic
space-group type: Pm-3m, No. 221

```
4
Lattice="-3.2631 1.9802 1.2170 -2.1381 -3.3799 -0.2332 0.9115 -0.8395 3.8098" Properties=species:S:1:pos:R:3 pbc="T T T"
Np 0.0000 0.0000 0.0000
Tc -0.6133 -2.1097 1.7883
Tc -1.1758 0.5704 2.5134
Tc -2.7006 -0.6999 0.4919
```



*y*
Material: NpTc3
Method: DFT, PBE
State: optimized geometry

crystal system: cubic
space-group type: Fm-3m, No. 225

```
4
Lattice="4.5444 0.0000 0.0000 2.2722 3.9356 0.0000 2.2722 1.3119 3.7105" Properties=species:S:1:pos:R:3 pbc="T T T"
Np 4.5444 2.6237 1.8552
Tc 0.0000 0.0000 0.0000
Tc 6.8166 3.9356 2.7829
Tc 2.2722 1.3119 0.9276
```



Name the least stable of them. *y*.



*w*
Material: NpTc
Method: DFT, PBE
State: optimized geometry

crystal system: monoclinic
space-group type: C2/m, No. 12

```
4
Lattice="-0.5679 1.7661 2.2656 -0.7120 -4.1176 3.0313 4.1911 -1.3813 2.1272" Properties=species:S:1:pos:R:3 pbc="T T T"
Np 2.7174 0.2883 3.2948
Np 0.1939 -4.0212 4.1294
Tc 2.3615 -1.7704 4.8104
Tc 0.5497 -1.9625 2.6138
```



*x*
Material: NpTc
Method: DFT, PBE
State: optimized geometry

crystal system: tetragonal
space-group type: P4/nmm, No. 129

```
4
Lattice="3.2203 0.0000 0.1674 0.0000 3.2246 0.0000 -0.3347 0.0000 6.3681" Properties=species:S:1:pos:R:3 pbc="T T T"
Np 0.7732 2.4185 0.6573
Np 2.1125 0.8062 5.8782
Tc 0.5977 2.4185 3.9966
Tc 2.2879 0.8062 2.5389
```



Name the least stable of them. *w*.



*w*
Material: Np2Tc
Method: DFT, PBE
State: optimized geometry

crystal system: monoclinic
space-group type: C2/m, No. 12

```
3
Lattice="-3.0248 1.3759 0.2945 -0.1457 -0.9844 3.1023 3.6474 3.8906 0.3898" Properties=species:S:1:pos:R:3 pbc="T T T"
Np -0.8464 1.7034 2.2432
Np 1.3233 2.5788 1.5435
Tc 0.0000 0.0000 0.0000
```



*x*
Material: Np2Tc
Method: DFT, PBE
State: optimized geometry

crystal system: tetragonal
space-group type: I4/mmm, No. 139

```
3
Lattice="3.2613 0.0000 0.0000 0.0000 3.2613 0.0000 -1.6307 -1.6307 4.8559" Properties=species:S:1:pos:R:3 pbc="T T T"
Np 1.6307 1.6307 1.8128
Np 0.0000 0.0000 3.0431
Tc 0.0000 0.0000 0.0000
```



Name the least stable of them. *x*.



*w*
Material: NpTi2Tc
Method: DFT, PBE
State: optimized geometry

crystal system: tetragonal
space-group type: P4/mmm, No. 123

```
4
Lattice="3.1384 0.0000 0.0000 0.0000 4.6202 0.0000 0.0000 0.0000 4.6202" Properties=species:S:1:pos:R:3 pbc="T T T"
Np 1.5692 2.3101 2.3101
Tc 1.5692 0.0000 0.0000
Ti 0.0000 0.0000 2.3101
Ti 0.0000 2.3101 0.0000
```



*x*
Material: NpTi2Tc
Method: DFT, PBE
State: optimized geometry

crystal system: tetragonal
space-group type: P4/mmm, No. 123

```
4
Lattice="3.0715 0.0000 0.0000 0.0000 3.0715 0.0000 0.0000 0.0000 7.3815" Properties=species:S:1:pos:R:3 pbc="T T T"
Np 1.5358 1.5358 3.6907
Tc 1.5358 1.5358 0.0000
Ti 0.0000 0.0000 5.8634
Ti 0.0000 0.0000 1.5181
```



Name the least stable of them. *w*.



*w*
Material: TmNpTc2
Method: DFT, PBE
State: optimized geometry

crystal system: cubic
space-group type: Fm-3m, No. 225

```
4
Lattice="4.7542 0.0000 0.0000 2.3771 4.1172 0.0000 2.3771 1.3724 3.8817" Properties=species:S:1:pos:R:3 pbc="T T T"
Np 4.7542 2.7448 1.9409
Tm 0.0000 0.0000 0.0000
Tc 2.3771 1.3724 0.9704
Tc 7.1312 4.1172 2.9113
```



*x*
Material: TmNpTc2
Method: DFT, PBE
State: optimized geometry

crystal system: tetragonal
space-group type: P4/mmm, No. 123

```
4
Lattice="3.3387 0.0000 0.0000 0.0000 3.3387 0.0000 0.0000 0.0000 6.8760" Properties=species:S:1:pos:R:3 pbc="T T T"
Np 1.6694 1.6694 0.0000
Tm 1.6694 1.6694 3.4380
Tc 0.0000 0.0000 5.4055
Tc 0.0000 0.0000 1.4705
```



Name the least stable of them. *w*.



*w*
Material: NpVTc2
Method: DFT, PBE
State: optimized geometry

crystal system: tetragonal
space-group type: P4/mmm, No. 123

```
4
Lattice="-0.8029 -3.0115 0.5428 2.0028 0.1954 4.0468 -3.8858 1.3707 1.8569" Properties=species:S:1:pos:R:3 pbc="T T T"
Np -1.3430 -0.7227 3.2232
Tc -1.9429 0.6853 0.9284
Tc 1.0014 0.0977 2.0234
V -0.4015 -1.5058 0.2714
```



*x*
Material: NpVTc2
Method: DFT, PBE
State: optimized geometry

crystal system: cubic
space-group type: Fm-3m, No. 225

```
4
Lattice="-0.7282 4.1504 -1.6078 -4.2169 1.5307 -0.4644 -1.5368 3.2403 2.7349" Properties=species:S:1:pos:R:3 pbc="T T T"
Np 0.0000 0.0000 0.0000
Tc -1.6205 2.2303 0.1657
Tc -4.8614 6.6910 0.4970
V -3.2410 4.4607 0.3313
```



*y*
Material: NpVTc2
Method: DFT, PBE
State: optimized geometry

crystal system: trigonal
space-group type: R-3m, No. 166

```
4
Lattice="2.8848 0.0000 0.0000 1.4424 2.4983 0.0000 1.4424 0.8328 8.8575" Properties=species:S:1:pos:R:3 pbc="T T T"
Np 2.8848 1.6655 4.4287
Tc 1.4424 0.8328 1.9318
Tc 4.3272 2.4983 6.9256
V 0.0000 0.0000 0.0000
```



Name the least stable of them. *y*.